{"formula": "Dy2IrBr", "functional": "GGA-PBE", "state": "optimized geometry", "e_above_lowest_polymorph_ev_per_fu": 0.00, "dft_energy_ry_per_atom": -0.445, "raw_formation_energy_ev_per_atom": -1.119, "m_tot_mub_per_fu": 0.0, "lattice_angstrom": [[-0.826, -3.963, 0.672], [0.465, -1.583, 3.757], [-7.494, 1.826, 1.729]], "species": ["Dy", "Dy", "Ir", "Br"], "frac_coords": [[0.876, 0.876, 0.086], [0.208, 0.208, 0.445], [0.542, 0.542, 0.259], [0.873, 0.873, 0.710]]}